Record 1
The following is a DFT calculation (PBE-GGA) of crystalline CeHfSb2 at its relaxed geometry.

- energy above the most stable polymorph in this dataset (eV/atom) = 0.0000
- DFT total energy (eV per atom) = -6.721
- volume (Å³/cell) = 338.6
- raw formation energy (eV/atom) = -0.688

abc: 4.1714 4.1714 22.4685
angles: 90.00 90.00 120.00
Space group R3m (No. 160, hexagonal axes)
Asymmetric unit:
Ce 0.0000 0.0000 0.0000 (multiplicity 3)
Hf 0.0000 0.0000 0.1712 (multiplicity 3)
Sb 0.0000 0.0000 0.5764 (multiplicity 3)
Sb 0.0000 0.0000 0.7617 (multiplicity 3)

Record 2
The following is a DFT calculation (PBE-GGA) of crystalline LiPt2Br at its relaxed geometry.

- energy above the most stable polymorph in this dataset (eV/atom) = 0.1088
- DFT total energy (eV per atom) = -4.038
- volume (Å³/cell) = 138.1
- raw formation energy (eV/atom) = -0.121

abc: 5.421 9.713 3.292
angles: 90.00 127.22 90.00
Space group C2/m (No. 12)
Asymmetric unit:
Li 0.000 0.000 0.000 (multiplicity 2)
Pt 0.250 0.250 0.500 (multiplicity 4)
Br 0.000 0.500 0.000 (multiplicity 2)

Record 3
The following is a DFT calculation (PBE-GGA) of crystalline BeIr3C at its relaxed geometry.

- energy above the most stable polymorph in this dataset (eV/atom) = 0.0000
- DFT total energy (eV per atom) = -7.535
- volume (Å³/cell) = 65.2

abc: 4.025 4.025 4.025
angles: 90.00 90.00 90.00
Space group Pm-3m (No. 221)
Asymmetric unit:
Be 0.000 0.000 0.000 (multiplicity 1)
Ir 0.000 0.500 0.500 (multiplicity 3)
C 0.500 0.500 0.500 (multiplicity 1)